# 1
First-principles (GGA-PBE) data for an optimized crystal structure of MnAl2, as listed in Alexandria via LeMat-Bulk.

The calculation puts the density at 4.29 Mg/m³. Its space-group type is Cm, No. 8. As for the crystal system: monoclinic. The calculation puts the calculated formation energy at -16.1 kJ per mole of atoms. As for the calculated volume: 84 Å³ per cell.

abc: 5.0739 5.0739 6.3993
angles: 102.24 102.24 31.66
Closest atoms and distances in Å follow each position.
Element x y z (fractional)
Mn 0.0000 0.0000 0.0000  8 Al 2.54-2.72, 2 Mn 2.77
Mn 0.6887 0.6887 0.3715  8 Al 2.56-2.74, 2 Mn 2.77
Al 0.2786 0.2786 0.0869  5 Mn 2.59-2.72, 7 Al 2.74-2.83
Al 0.3408 0.3408 0.6753  4 Mn 2.57-2.69, 8 Al 2.63-2.83
Al 0.6163 0.6163 0.7465  3 Mn 2.58-2.65, 9 Al 2.63-2.80
Al 0.9709 0.9709 0.3851  4 Mn 2.54-2.74, 8 Al 2.74-2.83

=====

# 2
First-principles (GGA-PBE) data for an optimized crystal structure of MnAl2, as listed in Alexandria via LeMat-Bulk.

The calculation puts the density at 4.21 Mg/m³. Its space-group type is C2/m, No. 12. As for the crystal system: monoclinic. The calculation puts the calculated formation energy at -9.2 kJ per mole of atoms. As for the calculated volume: 86 Å³ per cell.

abc: 5.3587 5.3587 6.1911
angles: 104.55 104.55 30.03
Closest atoms and distances in Å follow each position.
Element x y z (fractional)
Mn 0.1336 0.1336 0.0290  7 Al 2.54-2.60, 3 Mn 2.70-2.78
Mn 0.8664 0.8664 0.9710  7 Al 2.54-2.60, 3 Mn 2.70-2.78
Al 0.2027 0.2027 0.6640  3 Mn 2.54-2.60, 7 Al 2.78-2.84
Al 0.4779 0.4779 0.7142  4 Mn 2.59-2.60, 6 Al 2.78-2.81
Al 0.5221 0.5221 0.2858  4 Mn 2.59-2.60, 6 Al 2.78-2.81
Al 0.7973 0.7973 0.3360  3 Mn 2.54-2.60, 7 Al 2.78-2.84

=====

# 3
First-principles (GGA-PBE) data for an optimized crystal structure of Mn5Al, as listed in Alexandria via LeMat-Bulk.

The calculation puts the density at 7.24 Mg/m³. As for the energy above the most stable polymorph in this dataset: 0 meV per atom. Its space-group type is Cmmm, No. 65. As for the crystal system: orthorhombic. The calculation puts the calculated formation energy at -7.4 kJ per mole of atoms. As for the calculated volume: 69 Å³ per cell.

abc: 4.9047 4.9047 3.9249
angles: 90.00 90.00 132.84
Closest atoms and distances in Å follow each position.
Element x y z (fractional)
Mn 0.0000 0.0000 0.0000  8 Mn 2.53, 4 Al 2.78
Mn 0.1777 0.8223 0.5000  6 Mn 2.35-2.53, 2 Al 2.53
Mn 0.3228 0.6772 0.0000  6 Mn 2.36-2.53, 2 Al 2.53
Mn 0.6772 0.3228 0.0000  6 Mn 2.36-2.53, 2 Al 2.53
Mn 0.8223 0.1777 0.5000  6 Mn 2.35-2.53, 2 Al 2.53
Al 0.5000 0.5000 0.5000  12 Mn 2.53-2.78

=====

# 4
First-principles (GGA-PBE) data for an optimized crystal structure of Mn2Al, as listed in Alexandria via LeMat-Bulk.

The calculation puts the density at 5.98 Mg/m³. Its space-group type is Cmcm, No. 63. As for the crystal system: orthorhombic. The calculation puts the calculated formation energy at -0.8 kJ per mole of atoms. As for the calculated volume: 76 Å³ per cell.

abc: 6.6783 6.6783 4.3458
angles: 90.00 90.00 156.91
Closest atoms and distances in Å follow each position.
Element x y z (fractional)
Mn 0.0568 0.9432 0.7500  10 Mn 2.44-2.67, 2 Al 2.58
Mn 0.4005 0.5995 0.7500  8 Mn 2.44-2.67, 4 Al 2.65-2.73
Mn 0.5995 0.4005 0.2500  8 Mn 2.44-2.67, 4 Al 2.65-2.73
Mn 0.9432 0.0568 0.2500  10 Mn 2.44-2.67, 2 Al 2.58
Al 0.2746 0.7254 0.2500  6 Mn 2.58-2.73, 6 Al 2.63-2.67
Al 0.7254 0.2746 0.7500  6 Mn 2.58-2.73, 6 Al 2.63-2.67

=====

# 5
First-principles (GGA-PBE) data for an optimized crystal structure of Mn2Al, as listed in Alexandria via LeMat-Bulk.

The calculation puts the density at 6.22 Mg/m³. Its space-group type is Fd-3m, No. 227. As for the crystal system: cubic. The calculation puts the calculated formation energy at -4.9 kJ per mole of atoms. As for the calculated volume: 73 Å³ per cell.

abc: 4.6920 4.6920 4.6920
angles: 60.00 60.00 60.00
Closest atoms and distances in Å follow each position.
Element x y z (fractional)
Mn 0.0000 0.0000 0.0000  6 Mn 2.35
Mn 0.0000 0.0000 0.5000  6 Mn 2.35
Mn 0.0000 0.5000 0.0000  6 Mn 2.35
Mn 0.5000 0.0000 0.0000  6 Mn 2.35
Al 0.3750 0.3750 0.3750  12 Mn 2.75, 4 Al 2.87
Al 0.6250 0.6250 0.6250  12 Mn 2.75, 4 Al 2.87

=====

# 6
First-principles (GGA-PBE) data for an optimized crystal structure of Mn2Al5, as listed in Alexandria via LeMat-Bulk.

The calculation puts the density at 4.24 Mg/m³. As for the energy above the most stable polymorph in this dataset: 56 meV per atom. Its space-group type is R-3m, No. 166. As for the crystal system: trigonal. The calculation puts the calculated formation energy at -17.6 kJ per mole of atoms. As for the calculated volume: 96 Å³ per cell.

abc: 6.7029 6.7029 6.7029
angles: 36.59 36.59 36.59
Closest atoms and distances in Å follow each position.
Element x y z (fractional)
Mn 0.2256 0.2256 0.2256  8 Al 2.45-2.67
Mn 0.7744 0.7744 0.7744  8 Al 2.45-2.67
Al 0.0927 0.0927 0.0927  4 Mn 2.45-2.49, 3 Al 2.72
Al 0.3605 0.3605 0.3605  1 Mn 2.53, 7 Al 2.61-2.72
Al 0.5000 0.5000 0.5000  8 Al 2.61-2.80, 6 Mn 2.67
Al 0.6395 0.6395 0.6395  1 Mn 2.53, 7 Al 2.61-2.72
Al 0.9073 0.9073 0.9073  4 Mn 2.45-2.49, 3 Al 2.72

=====

# 7
First-principles (GGA-PBE) data for an optimized crystal structure of Mn4Al, as listed in Alexandria via LeMat-Bulk.

The calculation puts the density at 6.36 Mg/m³. As for the energy above the most stable polymorph in this dataset: 174 meV per atom. Its space-group type is I4/mmm, No. 139. As for the crystal system: tetragonal. The calculation puts the calculated formation energy at 18.0 kJ per mole of atoms. As for the calculated volume: 64 Å³ per cell.

abc: 5.2475 5.2475 5.2475
angles: 137.84 137.84 61.15
Closest atoms and distances in Å follow each position.
Element x y z (fractional)
Mn 0.1163 0.1163 0.0000  5 Mn 2.10-2.24
Mn 0.2500 0.7500 0.5000  4 Mn 2.24
Mn 0.7500 0.2500 0.5000  4 Mn 2.24
Mn 0.8837 0.8837 0.0000  5 Mn 2.10-2.24
Al 0.5000 0.5000 0.0000  16 Mn 2.87-2.94

=====

# 8
First-principles (GGA-PBE) data for an optimized crystal structure of Mn2AlMo, as listed in Alexandria via LeMat-Bulk.

The calculation puts the density at 7.30 Mg/m³. Its space-group type is Pm, No. 6. As for the crystal system: monoclinic. The calculation puts the calculated formation energy at -1.8 kJ per mole of atoms. As for the calculated volume: 53 Å³ per cell.

abc: 2.6428 4.1435 4.9630
angles: 90.00 102.88 90.00
Closest atoms and distances in Å follow each position.
Element x y z (fractional)
Mn 0.0000 0.0000 0.0000  2 Al 2.50-2.59, 2 Mo 2.54, 4 Mn 2.55-2.64
Mn 0.2075 0.5000 0.7451  2 Al 2.51, 2 Mo 2.52-2.57, 4 Mn 2.55-2.64
Al 0.4575 0.0000 0.5191  4 Mn 2.50-2.59, 2 Al 2.64, 2 Mo 2.71
Mo 0.7623 0.5000 0.2410  4 Mn 2.52-2.57, 2 Mo 2.64, 2 Al 2.71

=====

# 9
First-principles (GGA-PBE) data for an optimized crystal structure of Mn2AlMo, as listed in Alexandria via LeMat-Bulk.

The calculation puts the density at 7.24 Mg/m³. Its space-group type is P-1, No. 2. As for the crystal system: triclinic. The calculation puts the calculated formation energy at 0.4 kJ per mole of atoms. As for the calculated volume: 53 Å³ per cell.

abc: 2.6255 4.1237 4.9988
angles: 90.00 99.23 90.11
Closest atoms and distances in Å follow each position.
Element x y z (fractional)
Mn 0.2177 0.9998 0.2475  2 Mo 2.53, 4 Mn 2.55-2.72, 2 Al 2.57
Mn 0.7823 0.0002 0.7525  2 Mo 2.53, 4 Mn 2.55-2.72, 2 Al 2.57
Al 0.5000 0.5000 0.0000  4 Mn 2.57, 2 Al 2.63, 2 Mo 2.63
Mo 0.0000 0.5000 0.5000  4 Mn 2.53, 2 Mo 2.63, 2 Al 2.63

=====

# 10
First-principles (GGA-PBE) data for an optimized crystal structure of MnAlMo2, as listed in Alexandria via LeMat-Bulk.

The calculation puts the density at 7.98 Mg/m³. Its space-group type is Immm, No. 71. As for the crystal system: orthorhombic. The calculation puts the calculated formation energy at -12.5 kJ per mole of atoms. As for the calculated volume: 57 Å³ per cell.

abc: 5.0551 5.0551 5.0551
angles: 144.42 129.92 62.93
Closest atoms and distances in Å follow each position.
Element x y z (fractional)
Mn 0.0000 0.0000 0.0000  4 Mo 2.58, 4 Al 2.64
Al 0.5000 0.5000 0.0000  4 Mn 2.64, 4 Mo 2.72
Mo 0.2400 0.7400 0.5000  2 Mn 2.58, 4 Mo 2.64, 2 Al 2.72
Mo 0.7600 0.2600 0.5000  2 Mn 2.58, 4 Mo 2.64, 2 Al 2.72

=====

# 11
First-principles (GGA-PBE) data for an optimized crystal structure of Mn2AlMo, as listed in Alexandria via LeMat-Bulk.

The calculation puts the density at 7.08 Mg/m³. Its space-group type is R3m, No. 160. As for the crystal system: trigonal. The calculation puts the calculated formation energy at 12.3 kJ per mole of atoms. As for the calculated volume: 55 Å³ per cell.

abc: 8.7276 8.7276 8.7276
angles: 17.86 17.86 17.86
Closest atoms and distances in Å follow each position.
Element x y z (fractional)
Mn 0.0000 0.0000 0.0000  9 Mn 2.44-2.71, 3 Al 2.62
Mn 0.2604 0.2604 0.2604  9 Mn 2.44-2.71, 3 Mo 2.74
Al 0.7482 0.7482 0.7482  3 Mn 2.62, 6 Al 2.71, 3 Mo 2.83
Mo 0.5065 0.5065 0.5065  6 Mo 2.71, 3 Mn 2.74, 3 Al 2.83

=====

# 12
First-principles (GGA-PBE) data for an optimized crystal structure of MnAlMo2, as listed in Alexandria via LeMat-Bulk.

The calculation puts the density at 7.80 Mg/m³. Its space-group type is R3m, No. 160. As for the crystal system: trigonal. The calculation puts the calculated formation energy at 17.2 kJ per mole of atoms. As for the calculated volume: 58 Å³ per cell.

abc: 8.8983 8.8983 8.8983
angles: 17.93 17.93 17.93
Closest atoms and distances in Å follow each position.
Element x y z (fractional)
Mn 0.0000 0.0000 0.0000  3 Mo 2.56, 3 Al 2.57, 6 Mn 2.77
Al 0.2567 0.2567 0.2567  3 Mn 2.57, 6 Al 2.77, 3 Mo 2.83
Mo 0.5013 0.5013 0.5013  9 Mo 2.77-2.90, 3 Al 2.83
Mo 0.7427 0.7427 0.7427  3 Mn 2.56, 6 Mo 2.77